Entry 1:
# LaAgS2N

Crystalline LaAgS2N at its relaxed geometry (PBE, Alexandria via LeMat-Bulk).

Lattice parameters (Å, degrees): 5.648 5.648 4.346 90.00 90.00 90.00
Fractional positions:
La (0.000, 0.000, 0.000)
S (0.000, 0.500, 0.000)
S (0.500, 0.000, 0.000)
Ag (0.500, 0.500, 0.500)
N (0.000, 0.000, 0.500)

Results
The formation energy without anion corrections is 0.38 eV/atom. The calculated total energy is -22.5 eV per formula unit. The calculation puts the relative energy among the computed polymorphs at 2.47 eV per formula unit.



Entry 2:
# LaAgS2N

Crystalline LaAgS2N at its relaxed geometry (PBE, Alexandria via LeMat-Bulk).

Lattice parameters (Å, degrees): 4.923 4.923 4.117 90.00 90.00 90.00
Fractional positions:
S (0.000, 0.500, 0.000)
La (0.500, 0.500, 0.500)
Ag (0.000, 0.000, 0.000)
N (0.000, 0.000, 0.500)
S (0.500, 0.000, 0.000)

Results
The formation energy without anion corrections is -0.12 eV/atom. The calculated total energy is -24.9 eV per formula unit. The calculation puts the relative energy among the computed polymorphs at 0.00 eV per formula unit.



Entry 3:
# La4SiAgN

Crystalline La4SiAgN at its relaxed geometry (PBE, Alexandria via LeMat-Bulk).

Lattice parameters (Å, degrees): 7.169 7.168 8.379 90.00 115.33 90.00
Fractional positions:
Si (0.874, 0.750, 0.748)
La (0.925, 0.250, 0.850)
La (0.075, 0.750, 0.150)
Ag (0.616, 0.750, 0.232)
La (0.578, 0.250, 0.156)
N (0.247, 0.750, 0.494)
Si (0.126, 0.250, 0.252)
La (0.000, 0.000, 0.500)
N (0.753, 0.250, 0.506)
Ag (0.384, 0.250, 0.768)
La (0.500, 0.000, 0.500)
La (0.500, 0.500, 0.500)
La (0.422, 0.750, 0.844)
La (0.000, 0.500, 0.500)

Results
The formation energy without anion corrections is -0.63 eV/atom. The calculated total energy is -40.7 eV per formula unit.



Entry 4:
# La2SiAgN

Crystalline La2SiAgN at its relaxed geometry (PBE, Alexandria via LeMat-Bulk).

Lattice parameters (Å, degrees): 5.826 5.826 3.813 90.00 90.00 90.00
Fractional positions:
La (0.000, 0.500, 0.000)
Si (0.500, 0.500, 0.500)
N (0.000, 0.000, 0.500)
Ag (0.000, 0.000, 0.000)
La (0.500, 0.000, 0.000)

Results
The formation energy without anion corrections is 0.42 eV/atom. The calculated total energy is -24.4 eV per formula unit. The calculation puts the relative energy among the computed polymorphs at 4.96 eV per formula unit.



Entry 5:
# La2SiAgN

Crystalline La2SiAgN at its relaxed geometry (PBE, Alexandria via LeMat-Bulk).

Lattice parameters (Å, degrees): 5.067 4.368 5.067 90.00 90.00 90.00
Fractional positions:
Ag (0.000, 0.500, 0.000)
La (0.000, 0.000, 0.500)
Si (0.500, 0.500, 0.500)
N (0.000, 0.000, 0.000)
La (0.500, 0.000, 0.000)

Results
The formation energy without anion corrections is -0.58 eV/atom. The calculated total energy is -29.3 eV per formula unit. The calculation puts the relative energy among the computed polymorphs at 0.00 eV per formula unit.



Entry 6:
# LaSm2AgN

Crystalline LaSm2AgN at its relaxed geometry (PBE, Alexandria via LeMat-Bulk).

Lattice parameters (Å, degrees): 4.929 4.928 5.110 90.00 90.00 90.00
Fractional positions:
N (0.000, 0.000, 0.000)
Ag (0.500, 0.500, 0.500)
Sm (0.500, 0.000, 0.000)
La (0.000, 0.000, 0.500)
Sm (0.000, 0.500, 0.000)

Results
The formation energy without anion corrections is -0.63 eV/atom. The calculated total energy is -28.7 eV per formula unit.



Entry 7:
# La4AgSnN

Crystalline La4AgSnN at its relaxed geometry (PBE, Alexandria via LeMat-Bulk).

Lattice parameters (Å, degrees): 7.218 7.215 8.705 90.00 114.49 90.00
Fractional positions:
La (0.500, 0.000, 0.500)
La (0.587, 0.250, 0.174)
La (0.000, 0.500, 0.500)
La (0.076, 0.750, 0.152)
Ag (0.883, 0.750, 0.767)
La (0.924, 0.250, 0.848)
Sn (0.384, 0.250, 0.768)
Ag (0.117, 0.250, 0.233)
La (0.413, 0.750, 0.826)
N (0.254, 0.750, 0.508)
N (0.746, 0.250, 0.492)
La (0.000, 0.000, 0.500)
La (0.500, 0.500, 0.500)
Sn (0.616, 0.750, 0.232)

Results
The formation energy without anion corrections is -0.69 eV/atom. The calculated total energy is -39.7 eV per formula unit.



Entry 8:
# SrLa2AgN

Crystalline SrLa2AgN at its relaxed geometry (PBE, Alexandria via LeMat-Bulk).

Lattice parameters (Å, degrees): 5.028 5.028 5.438 90.00 90.00 90.00
Fractional positions:
Ag (0.500, 0.500, 0.500)
La (0.000, 0.500, 0.000)
La (0.500, 0.000, 0.000)
Sr (0.000, 0.000, 0.500)
N (0.000, 0.000, 0.000)

Results
The formation energy without anion corrections is -0.53 eV/atom. The calculated total energy is -25.4 eV per formula unit.



Entry 9:
# La2TaAgN

Crystalline La2TaAgN at its relaxed geometry (PBE, Alexandria via LeMat-Bulk).

Lattice parameters (Å, degrees): 5.320 5.320 4.091 90.00 90.00 90.00
Fractional positions:
Ta (0.000, 0.000, 0.500)
N (0.000, 0.000, 0.000)
La (0.000, 0.500, 0.000)
La (0.500, 0.000, 0.000)
Ag (0.500, 0.500, 0.500)

Results
The formation energy without anion corrections is -0.49 eV/atom. The calculated total energy is -35.4 eV per formula unit. The calculation puts the relative energy among the computed polymorphs at 0.00 eV per formula unit.



Entry 10:
# La2TaAgN

Crystalline La2TaAgN at its relaxed geometry (PBE, Alexandria via LeMat-Bulk).

Lattice parameters (Å, degrees): 5.868 4.001 5.868 90.00 90.00 90.00
Fractional positions:
La (0.500, 0.000, 0.000)
Ag (0.500, 0.500, 0.500)
Ta (0.000, 0.000, 0.000)
N (0.000, 0.500, 0.000)
La (0.000, 0.000, 0.500)

Results
The formation energy without anion corrections is 0.26 eV/atom. The calculated total energy is -31.6 eV per formula unit. The calculation puts the relative energy among the computed polymorphs at 3.76 eV per formula unit.



Entry 11:
# La6TcAg2N

Crystalline La6TcAg2N at its relaxed geometry (PBE, Alexandria via LeMat-Bulk).

Lattice parameters (Å, degrees): 6.903 7.783 10.590 90.00 88.11 90.00
Fractional positions:
La (0.809, 0.825, 0.547)
Tc (0.000, 0.500, 0.500)
La (0.339, 0.698, 0.448)
La (0.661, 0.302, 0.552)
La (0.891, 0.520, 0.241)
La (0.191, 0.175, 0.453)
Ag (0.442, 0.401, 0.252)
La (0.839, 0.802, 0.948)
La (0.309, 0.675, 0.047)
La (0.691, 0.325, 0.953)
Ag (0.558, 0.599, 0.748)
Ag (0.058, 0.901, 0.248)
La (0.609, 0.020, 0.259)
Tc (0.500, 0.000, 0.000)
N (0.500, 0.000, 0.500)
La (0.161, 0.198, 0.052)
Ag (0.942, 0.099, 0.752)
N (0.000, 0.500, 0.000)
La (0.391, 0.980, 0.741)
La (0.109, 0.480, 0.759)

Results
The formation energy without anion corrections is -0.32 eV/atom. The calculated total energy is -57.2 eV per formula unit.



Entry 12:
# La8TcAg2N

Crystalline La8TcAg2N at its relaxed geometry (PBE, Alexandria via LeMat-Bulk).

Lattice parameters (Å, degrees): 7.136 6.625 7.851 78.50 94.49 87.45
Fractional positions:
N (0.000, 0.000, 0.000)
La (0.287, 0.149, 0.085)
Ag (0.455, 0.578, 0.161)
La (0.941, 0.284, 0.716)
Ag (0.545, 0.422, 0.839)
La (0.185, 0.773, 0.797)
La (0.394, 0.225, 0.530)
La (0.713, 0.851, 0.915)
La (0.815, 0.227, 0.203)
La (0.606, 0.775, 0.470)
La (0.059, 0.716, 0.284)
Tc (0.000, 0.000, 0.500)

Results
The formation energy without anion corrections is -0.28 eV/atom. The calculated total energy is -67.2 eV per formula unit.



> Which value of formation energy without anion corrections does entry 5 give?

-0.58 eV/atom